Entry from the Alexandria database: an optimized crystal structure of LiAg2IrCl6 (PBE).

Lattice parameters (Å, degrees): 6.5796 6.5796 19.1271 90.00 90.00 120.00
Space group R3 (No. 146, hexagonal axes)
Inequivalent atoms, fractional coordinates:
Li 0.0000 0.0000 0.0000 [3 per cell]
Ag 0.0000 0.0000 0.3230 [3 per cell]
Ag 0.0000 0.0000 0.8349 [3 per cell]
Ir 0.0000 0.0000 0.6515 [3 per cell]
Cl 0.0067 0.3019 0.5820 [9 per cell]
Cl 0.0122 0.7160 0.7251 [9 per cell]

Crystal system = trigonal
Volume = 23.900 A^3/atom
E_form (uncorrected) = -0.71 eV per atom

Entry from the Alexandria database: an optimized crystal structure of Li2AgIrCl6 (PBE).

Lattice parameters (Å, degrees): 6.4027 6.4027 17.6031 90.00 90.00 120.00
Space group R3 (No. 146, hexagonal axes)
Inequivalent atoms, fractional coordinates:
Li 0.0000 0.0000 0.0000 [3 per cell]
Li 0.0000 0.0000 0.4803 [3 per cell]
Ag 0.0000 0.0000 0.1906 [3 per cell]
Ir 0.0000 0.0000 0.6719 [3 per cell]
Cl 0.0101 0.3157 0.7471 [9 per cell]
Cl 0.0231 0.7177 0.5908 [9 per cell]

Crystal system = trigonal
Volume = 20.832 A^3/atom
E_form (uncorrected) = -0.97 eV per atom

> The highest volume belongs to which entry?

LiAg2IrCl6